A geometry-optimized Pm2ZnBi4 structure, computed with PBE-GGA.

Values from the calculation:
Fermi-level density of states ... 2.5 states/eV per cell
Uncorrected energy ... -30.08 eV per formula unit
Magnetization ... 0.0 μB/cell

Cell lengths 4.595, 4.595, 9.911 Å; angles 90.00, 90.00, 90.00 degrees
Space group P-4m2 (No. 115)
Asymmetric unit:
Pm1 0.000 0.500 0.241
Zn1 0.500 0.500 0.000
Bi1 0.000 0.000 0.500
Bi2 0.000 0.500 0.838
Bi3 0.500 0.500 0.500